Here is crystalline ErTlVF6 at its relaxed geometry from the Alexandria database. Energies are from PBE with a Hubbard U.

Lattice parameters (Å, degrees): 7.807 8.169 11.326 90.00 90.00 90.00
Space group Imma (No. 74)
Inequivalent atoms, fractional coordinates:
Er1 0.000 0.000 0.000 x4
Tl1 0.000 0.250 0.467 x4
V1 0.250 0.250 0.750 x4
F1 0.000 0.250 0.069 x4
F2 0.000 0.250 0.686 x4
F3 0.205 0.071 0.883 x16

Results
Electronic total energy: -214.66 eV per cell
Calculated volume: 722.3 Å³/cell
Total magnetization: 12.00 Bohr magnetons per cell
Density: 4.9 g cm⁻³
Crystal system: orthorhombic